YCr3: optimized geometry, PBE.

```
data_YCr3
_chemical_formula_sum 'Y4 Cr12'
_cell_length_a 6.873
_cell_length_b 9.554
_cell_length_c 4.253
_cell_angle_alpha 90.00
_cell_angle_beta 90.00
_cell_angle_gamma 90.00
_symmetry_space_group_name_H-M 'C m c m'
_symmetry_Int_Tables_number 63
_symmetry_space_group_name_Hall '-C 2c 2'
loop_
_atom_site_label
_atom_site_fract_x
_atom_site_fract_y
_atom_site_fract_z
Y1 0.000 0.136 0.250
Cr1 0.000 0.392 0.750
Cr2 0.206 0.393 0.250
```

Computed properties:
E_form   456 meV/atom
Crystal system   orthorhombic
Total energy   -0.30787 Ha/atom
N(E_F)   11.15 states/eV/cell

Y3Cr: optimized geometry, PBE.

```
data_Y3Cr
_chemical_formula_sum 'Y6 Cr2'
_cell_length_a 6.122
_cell_length_b 6.122
_cell_length_c 6.122
_cell_angle_alpha 90.00
_cell_angle_beta 90.00
_cell_angle_gamma 90.00
_symmetry_space_group_name_H-M 'P m -3 n'
_symmetry_Int_Tables_number 223
_symmetry_space_group_name_Hall '-P 4n 2 3'
loop_
_atom_site_label
_atom_site_fract_x
_atom_site_fract_y
_atom_site_fract_z
Y1 0.000 0.250 0.500
Cr1 0.000 0.000 0.000
```

Computed properties:
E_form   406 meV/atom
Crystal system   cubic
Total energy   -0.25166 Ha/atom
N(E_F)   13.04 states/eV/cell

YCr2: optimized geometry, PBE.

```
data_YCr2
_chemical_formula_sum 'Y8 Cr16'
_cell_length_a 4.272
_cell_length_b 4.272
_cell_length_c 25.776
_cell_angle_alpha 90.00
_cell_angle_beta 90.00
_cell_angle_gamma 90.00
_symmetry_space_group_name_H-M 'I 41/a m d'
_symmetry_Int_Tables_number 141
loop_
_symmetry_equiv_pos_as_xyz
'x,y,z'
'-x,-y,-z'
'-y+1/4,x+3/4,z+1/4'
'y+1/4,-x+3/4,-z+1/4'
'-x+1/2,-y,z+1/2'
'x+1/2,y,-z+1/2'
'y+1/4,-x+1/4,z+3/4'
'-y+1/4,x+1/4,-z+3/4'
'x,-y,-z'
'-x,y,z'
'-y+1/4,-x+1/4,-z+3/4'
'y+1/4,x+1/4,z+3/4'
'-x+1/2,y,-z+1/2'
'x+1/2,-y,z+1/2'
'y+1/4,x+3/4,-z+1/4'
'-y+1/4,-x+3/4,z+1/4'
'x+1/2,y+1/2,z+1/2'
'-x+1/2,-y+1/2,-z+1/2'
'-y+3/4,x+1/4,z+3/4'
'y+3/4,-x+1/4,-z+3/4'
'-x,-y+1/2,z'
'x,y+1/2,-z'
'y+3/4,-x+3/4,z+1/4'
'-y+3/4,x+3/4,-z+1/4'
'x+1/2,-y+1/2,-z+1/2'
'-x+1/2,y+1/2,z+1/2'
'-y+3/4,-x+3/4,-z+1/4'
'y+3/4,x+3/4,z+1/4'
'-x,y+1/2,-z'
'x,-y+1/2,z'
'y+3/4,x+1/4,-z+3/4'
'-y+3/4,-x+1/4,z+3/4'
loop_
_atom_site_label
_atom_site_fract_x
_atom_site_fract_y
_atom_site_fract_z
Y1 0.000 0.250 0.300
Cr1 0.000 0.250 0.125
Cr2 0.000 0.250 0.798
```

Computed properties:
E_form   763 meV/atom
Crystal system   tetragonal
Total energy   -0.28692 Ha/atom
N(E_F)   39.40 states/eV/cell

YCr2: optimized geometry, PBE.

```
data_YCr2
_chemical_formula_sum 'Y1 Cr2'
_cell_length_a 3.309
_cell_length_b 3.309
_cell_length_c 5.093
_cell_angle_alpha 90.00
_cell_angle_beta 90.00
_cell_angle_gamma 90.00
_symmetry_space_group_name_H-M 'P 4/m m m'
_symmetry_Int_Tables_number 123
_symmetry_space_group_name_Hall '-P 4 2'
loop_
_atom_site_label
_atom_site_fract_x
_atom_site_fract_y
_atom_site_fract_z
Y1 0.000 0.000 0.000
Cr1 0.000 0.500 0.500
```

Computed properties:
E_form   666 meV/atom
Crystal system   tetragonal
Total energy   -0.29046 Ha/atom
N(E_F)   4.40 states/eV/cell

Q: Number 1 is which compound?
A: YCr3

Copy entry 4 word for word.
YCr2: optimized geometry, PBE.

```
data_YCr2
_chemical_formula_sum 'Y1 Cr2'
_cell_length_a 3.309
_cell_length_b 3.309
_cell_length_c 5.093
_cell_angle_alpha 90.00
_cell_angle_beta 90.00
_cell_angle_gamma 90.00
_symmetry_space_group_name_H-M 'P 4/m m m'
_symmetry_Int_Tables_number 123
_symmetry_space_group_name_Hall '-P 4 2'
loop_
_atom_site_label
_atom_site_fract_x
_atom_site_fract_y
_atom_site_fract_z
Y1 0.000 0.000 0.000
Cr1 0.000 0.500 0.500
```

Computed properties:
E_form   666 meV/atom
Crystal system   tetragonal
Total energy   -0.29046 Ha/atom
N(E_F)   4.40 states/eV/cell

Q: Which formula does entry 1 have?
A: YCr3